A plane-wave DFT calculation with PBE was carried out for a relaxed structure of PmNi3Ge2.

Output
**Polymorph energy (0 for the lowest one)**: 44 meV per atom

Geometry as CIF:
```
data_PmNi3Ge2
_chemical_formula_sum 'Pm2 Ni6 Ge4'
_cell_length_a 3.912
_cell_length_b 7.773
_cell_length_c 7.169
_cell_angle_alpha 114.38
_cell_angle_beta 90.00
_cell_angle_gamma 104.57
_symmetry_space_group_name_H-M 'P 1'
_symmetry_Int_Tables_number 1
loop_
_symmetry_equiv_pos_as_xyz
'x,y,z'
loop_
_atom_site_label
_atom_site_type_symbol
_atom_site_fract_x
_atom_site_fract_y
_atom_site_fract_z
Ni1 Ni 0.589 0.178 0.658
Ni2 Ni 0.962 0.924 0.623
Ni3 Ni 0.411 0.822 0.342
Ni4 Ni 0.038 0.076 0.377
Ni5 Ni 0.686 0.371 0.447
Ni6 Ni 0.314 0.629 0.553
Ge1 Ge 0.522 0.044 0.191
Ge2 Ge 0.478 0.956 0.809
Ge3 Ge 0.812 0.623 0.326
Ge4 Ge 0.188 0.377 0.674
Pm1 Pm 0.848 0.696 0.930
Pm2 Pm 0.152 0.304 0.070
```

---

A plane-wave DFT calculation with PBE was carried out for a relaxed structure of Pm12NiGe7.

Output
**Calculated total energy**: -5.229 eV/atom

Geometry as CIF:
```
data_Pm12NiGe7
_chemical_formula_sum 'Pm12 Ni1 Ge7'
_cell_length_a 9.013
_cell_length_b 9.013
_cell_length_c 9.013
_cell_angle_alpha 109.35
_cell_angle_beta 109.35
_cell_angle_gamma 109.35
_symmetry_space_group_name_H-M 'P 1'
_symmetry_Int_Tables_number 1
loop_
_symmetry_equiv_pos_as_xyz
'x,y,z'
loop_
_atom_site_label
_atom_site_type_symbol
_atom_site_fract_x
_atom_site_fract_y
_atom_site_fract_z
Pm1 Pm 0.727 0.871 0.344
Pm2 Pm 0.597 0.903 0.682
Pm3 Pm 0.129 0.656 0.273
Pm4 Pm 0.318 0.403 0.097
Pm5 Pm 0.344 0.727 0.871
Pm6 Pm 0.871 0.344 0.727
Pm7 Pm 0.097 0.318 0.403
Pm8 Pm 0.682 0.597 0.903
Pm9 Pm 0.656 0.273 0.129
Pm10 Pm 0.403 0.097 0.318
Pm11 Pm 0.273 0.129 0.656
Pm12 Pm 0.903 0.682 0.597
Ge1 Ge 0.258 0.028 0.939
Ge2 Ge 0.742 0.972 0.061
Ge3 Ge 0.028 0.939 0.258
Ge4 Ge 0.500 0.500 0.500
Ge5 Ge 0.972 0.061 0.742
Ge6 Ge 0.061 0.742 0.972
Ge7 Ge 0.939 0.258 0.028
Ni1 Ni 0.000 0.000 0.000
```

---

A plane-wave DFT calculation with PBE was carried out for a relaxed structure of Pm2Ni2Ge.

Output
**Polymorph energy (0 for the lowest one)**: 0 meV per atom

Geometry as CIF:
```
data_Pm2Ni2Ge
_chemical_formula_sum 'Pm4 Ni4 Ge2'
_cell_length_a 5.477
_cell_length_b 5.442
_cell_length_c 7.808
_cell_angle_alpha 102.40
_cell_angle_beta 90.00
_cell_angle_gamma 120.21
_symmetry_space_group_name_H-M 'P 1'
_symmetry_Int_Tables_number 1
loop_
_symmetry_equiv_pos_as_xyz
'x,y,z'
loop_
_atom_site_label
_atom_site_type_symbol
_atom_site_fract_x
_atom_site_fract_y
_atom_site_fract_z
Ni1 Ni 0.999 0.733 0.001
Ni2 Ni 0.001 0.267 0.999
Ni3 Ni 0.734 0.733 0.501
Ni4 Ni 0.266 0.267 0.499
Pm1 Pm 0.509 0.300 0.151
Pm2 Pm 0.491 0.700 0.849
Pm3 Pm 0.210 0.700 0.349
Pm4 Pm 0.790 0.300 0.651
Ge1 Ge 0.149 0.000 0.750
Ge2 Ge 0.851 0.000 0.250
```

---

A plane-wave DFT calculation with PBE was carried out for a relaxed structure of Pm8Ni2Ge.

Output
**Polymorph energy (0 for the lowest one)**: 82 meV per atom

Geometry as CIF:
```
data_Pm8Ni2Ge
_chemical_formula_sum 'Pm8 Ni2 Ge1'
_cell_length_a 5.909
_cell_length_b 7.789
_cell_length_c 7.789
_cell_angle_alpha 114.61
_cell_angle_beta 98.03
_cell_angle_gamma 98.03
_symmetry_space_group_name_H-M 'P 1'
_symmetry_Int_Tables_number 1
loop_
_symmetry_equiv_pos_as_xyz
'x,y,z'
loop_
_atom_site_label
_atom_site_type_symbol
_atom_site_fract_x
_atom_site_fract_y
_atom_site_fract_z
Pm1 Pm 0.581 0.338 0.081
Pm2 Pm 0.188 0.384 0.384
Pm3 Pm 0.374 0.922 0.658
Pm4 Pm 0.985 0.767 0.226
Pm5 Pm 0.374 0.658 0.922
Pm6 Pm 0.985 0.226 0.767
Pm7 Pm 0.808 0.640 0.640
Pm8 Pm 0.581 0.081 0.338
Ni1 Ni 0.499 0.700 0.308
Ni2 Ni 0.499 0.308 0.700
Ge1 Ge 0.125 0.011 0.011
```

---

A plane-wave DFT calculation with PBE was carried out for a relaxed structure of PmNi5Ge3.

Output
**Calculated total energy**: -5.777 eV/atom

Geometry as CIF:
```
data_PmNi5Ge3
_chemical_formula_sum 'Pm2 Ni10 Ge6'
_cell_length_a 3.768
_cell_length_b 6.336
_cell_length_c 11.811
_cell_angle_alpha 90.00
_cell_angle_beta 90.00
_cell_angle_gamma 107.30
_symmetry_space_group_name_H-M 'P 1'
_symmetry_Int_Tables_number 1
loop_
_symmetry_equiv_pos_as_xyz
'x,y,z'
loop_
_atom_site_label
_atom_site_type_symbol
_atom_site_fract_x
_atom_site_fract_y
_atom_site_fract_z
Ge1 Ge 0.887 0.774 0.250
Ge2 Ge 0.381 0.761 0.545
Ge3 Ge 0.113 0.226 0.750
Ge4 Ge 0.619 0.239 0.455
Ge5 Ge 0.381 0.761 0.955
Ge6 Ge 0.619 0.239 0.045
Ni1 Ni 0.000 0.000 0.000
Ni2 Ni 0.806 0.613 0.066
Ni3 Ni 0.552 0.103 0.856
Ni4 Ni 0.194 0.387 0.934
Ni5 Ni 0.806 0.613 0.434
Ni6 Ni 0.448 0.897 0.356
Ni7 Ni 0.448 0.897 0.144
Ni8 Ni 0.552 0.103 0.644
Ni9 Ni 0.194 0.387 0.566
Ni10 Ni 0.000 0.000 0.500
Pm1 Pm 0.161 0.322 0.250
Pm2 Pm 0.839 0.678 0.750
```

---

A plane-wave DFT calculation with PBE was carried out for a relaxed structure of Pm2PrNi2Ge2.

Output
**Calculated total energy**: -5.605 eV/atom

Geometry as CIF:
```
data_Pm2PrNi2Ge2
_chemical_formula_sum 'Pm2 Pr1 Ni2 Ge2'
_cell_length_a 4.285
_cell_length_b 4.285
_cell_length_c 10.262
_cell_angle_alpha 77.95
_cell_angle_beta 77.95
_cell_angle_gamma 60.00
_symmetry_space_group_name_H-M 'P 1'
_symmetry_Int_Tables_number 1
loop_
_symmetry_equiv_pos_as_xyz
'x,y,z'
loop_
_atom_site_label
_atom_site_type_symbol
_atom_site_fract_x
_atom_site_fract_y
_atom_site_fract_z
Ge1 Ge 0.735 0.735 0.794
Ge2 Ge 0.265 0.265 0.206
Pm1 Pm 0.878 0.878 0.367
Pm2 Pm 0.122 0.122 0.633
Pr1 Pr 0.000 0.000 0.000
Ni1 Ni 0.399 0.399 0.804
Ni2 Ni 0.601 0.601 0.196
```

---

A plane-wave DFT calculation with PBE was carried out for a relaxed structure of PmPrNiGe.

Output
**Calculated total energy**: -5.415 eV/atom

Geometry as CIF:
```
data_PmPrNiGe
_chemical_formula_sum 'Pm1 Pr1 Ni1 Ge1'
_cell_length_a 5.108
_cell_length_b 5.108
_cell_length_c 5.108
_cell_angle_alpha 60.00
_cell_angle_beta 60.00
_cell_angle_gamma 60.00
_symmetry_space_group_name_H-M 'P 1'
_symmetry_Int_Tables_number 1
loop_
_symmetry_equiv_pos_as_xyz
'x,y,z'
loop_
_atom_site_label
_atom_site_type_symbol
_atom_site_fract_x
_atom_site_fract_y
_atom_site_fract_z
Ge1 Ge 0.750 0.750 0.750
Pr1 Pr 0.000 0.000 0.000
Ni1 Ni 0.250 0.250 0.250
Pm1 Pm 0.500 0.500 0.500
```

---

A plane-wave DFT calculation with PBE was carried out for a relaxed structure of Pm2NiGePt6.

Output
**Calculated total energy**: -6.335 eV/atom

Geometry as CIF:
```
data_Pm2NiGePt6
_chemical_formula_sum 'Pm2 Ni1 Ge1 Pt6'
_cell_length_a 5.447
_cell_length_b 8.424
_cell_length_c 6.536
_cell_angle_alpha 51.14
_cell_angle_beta 65.38
_cell_angle_gamma 90.01
_symmetry_space_group_name_H-M 'P 1'
_symmetry_Int_Tables_number 1
loop_
_symmetry_equiv_pos_as_xyz
'x,y,z'
loop_
_atom_site_label
_atom_site_type_symbol
_atom_site_fract_x
_atom_site_fract_y
_atom_site_fract_z
Pt1 Pt 0.248 0.398 0.505
Pt2 Pt 0.234 0.241 0.025
Pt3 Pt 0.752 0.602 0.495
Pt4 Pt 0.742 0.241 0.024
Pt5 Pt 0.258 0.759 0.976
Pt6 Pt 0.766 0.759 0.976
Ge1 Ge 0.500 0.500 0.000
Ni1 Ni 0.000 0.000 0.000
Pm1 Pm 0.736 0.205 0.528
Pm2 Pm 0.264 0.795 0.472
```

---

A plane-wave DFT calculation with PBE was carried out for a relaxed structure of Pm2NiGe4Pt3.

Output
**Calculated total energy**: -6.055 eV/atom

Geometry as CIF:
```
data_Pm2NiGe4Pt3
_chemical_formula_sum 'Pm2 Ni1 Ge4 Pt3'
_cell_length_a 4.304
_cell_length_b 4.304
_cell_length_c 10.154
_cell_angle_alpha 90.00
_cell_angle_beta 90.00
_cell_angle_gamma 90.00
_symmetry_space_group_name_H-M 'P 1'
_symmetry_Int_Tables_number 1
loop_
_symmetry_equiv_pos_as_xyz
'x,y,z'
loop_
_atom_site_label
_atom_site_type_symbol
_atom_site_fract_x
_atom_site_fract_y
_atom_site_fract_z
Pm1 Pm 0.500 0.000 0.256
Pm2 Pm 0.000 0.500 0.744
Ge1 Ge 0.000 0.000 0.000
Ge2 Ge 0.000 0.500 0.375
Ge3 Ge 0.500 0.500 0.000
Ge4 Ge 0.500 0.000 0.625
Pt1 Pt 0.000 0.500 0.132
Pt2 Pt 0.000 0.000 0.500
Pt3 Pt 0.500 0.000 0.868
Ni1 Ni 0.500 0.500 0.500
```

---

A plane-wave DFT calculation with PBE was carried out for a relaxed structure of PmNiGePt3.

Output
**Calculated total energy**: -6.075 eV/atom

Geometry as CIF:
```
data_PmNiGePt3
_chemical_formula_sum 'Pm2 Ni2 Ge2 Pt6'
_cell_length_a 5.642
_cell_length_b 6.831
_cell_length_c 6.721
_cell_angle_alpha 120.54
_cell_angle_beta 90.00
_cell_angle_gamma 90.00
_symmetry_space_group_name_H-M 'P 1'
_symmetry_Int_Tables_number 1
loop_
_symmetry_equiv_pos_as_xyz
'x,y,z'
loop_
_atom_site_label
_atom_site_type_symbol
_atom_site_fract_x
_atom_site_fract_y
_atom_site_fract_z
Pt1 Pt 0.750 0.836 0.671
Pt2 Pt 0.250 0.164 0.329
Pt3 Pt 0.000 0.712 0.000
Pt4 Pt 0.500 0.712 0.000
Pt5 Pt 0.500 0.288 0.000
Pt6 Pt 0.000 0.288 0.000
Ni1 Ni 0.250 0.943 0.886
Ni2 Ni 0.750 0.057 0.114
Pm1 Pm 0.250 0.716 0.433
Pm2 Pm 0.750 0.284 0.567
Ge1 Ge 0.250 0.370 0.741
Ge2 Ge 0.750 0.630 0.259
```

---

A plane-wave DFT calculation with PBE was carried out for a relaxed structure of PmNiGe2Pt5.

Output
**Calculated total energy**: -5.972 eV/atom

Geometry as CIF:
```
data_PmNiGe2Pt5
_chemical_formula_sum 'Pm1 Ni1 Ge2 Pt5'
_cell_length_a 4.104
_cell_length_b 4.104
_cell_length_c 9.486
_cell_angle_alpha 90.00
_cell_angle_beta 90.00
_cell_angle_gamma 90.00
_symmetry_space_group_name_H-M 'P 1'
_symmetry_Int_Tables_number 1
loop_
_symmetry_equiv_pos_as_xyz
'x,y,z'
loop_
_atom_site_label
_atom_site_type_symbol
_atom_site_fract_x
_atom_site_fract_y
_atom_site_fract_z
Pt1 Pt 0.500 0.000 0.267
Pt2 Pt 0.500 0.000 0.733
Pt3 Pt 0.500 0.500 0.500
Pt4 Pt 0.000 0.500 0.733
Pt5 Pt 0.000 0.500 0.267
Ge1 Ge 0.500 0.500 0.124
Ge2 Ge 0.500 0.500 0.876
Pm1 Pm 0.000 0.000 0.500
Ni1 Ni 0.000 0.000 0.000
```

---

A plane-wave DFT calculation with PBE was carried out for a relaxed structure of Pm2PuNi4Ge3.

Output
**Calculated total energy**: -6.638 eV/atom

Geometry as CIF:
```
data_Pm2PuNi4Ge3
_chemical_formula_sum 'Pm2 Pu1 Ni4 Ge3'
_cell_length_a 4.228
_cell_length_b 4.228
_cell_length_c 10.092
_cell_angle_alpha 90.00
_cell_angle_beta 90.00
_cell_angle_gamma 90.00
_symmetry_space_group_name_H-M 'P 1'
_symmetry_Int_Tables_number 1
loop_
_symmetry_equiv_pos_as_xyz
'x,y,z'
loop_
_atom_site_label
_atom_site_type_symbol
_atom_site_fract_x
_atom_site_fract_y
_atom_site_fract_z
Pm1 Pm 0.000 0.500 0.775
Pm2 Pm 0.500 0.000 0.225
Pu1 Pu 0.500 0.500 0.500
Ni1 Ni 0.500 0.000 0.650
Ni2 Ni 0.000 0.000 0.000
Ni3 Ni 0.000 0.500 0.350
Ni4 Ni 0.500 0.500 0.000
Ge1 Ge 0.500 0.000 0.883
Ge2 Ge 0.000 0.000 0.500
Ge3 Ge 0.000 0.500 0.117
```

---

no.,calculated volume (Å³/cell)
1,191
2,566
3,195
4,315
5,269
6,158
7,94
8,197
9,188
10,223
11,160
12,180